(1)
The following is a DFT calculation (PBE) of crystalline Tb5Te5Pd at its relaxed geometry.

abc: 7.5470 7.5470 8.6210
angles: 107.19 107.19 48.30
With the nearest neighbours (Å) after each atom.
Sites, in units of the cell vectors:
Tb (0.0000, 0.0000, 0.0000)  2 Pd 3.09, 4 Te 3.10-3.12
Tb (0.3444, 0.3444, 0.6816)  1 Pd 2.88, 5 Te 3.04-3.12
Tb (0.3461, 0.3461, 0.1563)  1 Pd 2.86, 5 Te 3.03-3.15
Tb (0.6539, 0.6539, 0.8437)  1 Pd 2.86, 5 Te 3.03-3.15
Tb (0.6556, 0.6556, 0.3184)  1 Pd 2.88, 5 Te 3.04-3.12
Te (0.1647, 0.1647, 0.8257)  5 Tb 3.10-3.12
Te (0.1789, 0.1789, 0.3338)  5 Tb 3.10-3.15
Te (0.5000, 0.5000, 0.5000)  4 Tb 3.03-3.04
Te (0.8211, 0.8211, 0.6662)  5 Tb 3.10-3.15
Te (0.8353, 0.8353, 0.1743)  5 Tb 3.10-3.12
Pd (0.5000, 0.5000, 0.0000)  6 Tb 2.86-3.09

Calculated values
formation energy without anion corrections	-1.234	eV per atom
raw total energy	-57.63	eV per cell

=====

(2)
The following is a DFT calculation (PBE) of crystalline Tb2TePd at its relaxed geometry.

abc: 11.7395 11.7395 4.5415
angles: 90.00 90.00 160.34
With the nearest neighbours (Å) after each atom.
Sites, in units of the cell vectors:
Tb (0.0581, 0.9419, 0.7500)  6 Pd 3.03-3.06, 1 Te 3.16
Tb (0.3345, 0.6655, 0.7500)  1 Pd 2.90, 5 Te 3.10-3.23
Tb (0.6655, 0.3345, 0.2500)  1 Pd 2.90, 5 Te 3.10-3.23
Tb (0.9419, 0.0581, 0.2500)  6 Pd 3.03-3.06, 1 Te 3.16
Te (0.1947, 0.8053, 0.7500)  6 Tb 3.10-3.23
Te (0.8053, 0.1947, 0.2500)  6 Tb 3.10-3.23
Pd (0.4599, 0.5401, 0.7500)  7 Tb 2.90-3.06, 2 Pd 2.93
Pd (0.5401, 0.4599, 0.2500)  7 Tb 2.90-3.06, 2 Pd 2.93

Calculated values
offset from the most stable computed form	0	meV/atom
formation energy without anion corrections	-1.079	eV per atom
raw total energy	-43.82	eV per cell

=====

(3)
The following is a DFT calculation (PBE) of crystalline TbTePd5 at its relaxed geometry.

abc: 4.1917 4.1917 7.4857
angles: 90.00 90.00 90.00
With the nearest neighbours (Å) after each atom.
Sites, in units of the cell vectors:
Tb (0.0000, 0.0000, 0.0000)  12 Pd 2.92-2.96
Te (0.5000, 0.5000, 0.5000)  8 Pd 2.70
Pd (0.0000, 0.5000, 0.2725)  2 Te 2.70, 2 Tb 2.92, 6 Pd 2.92-2.96
Pd (0.0000, 0.5000, 0.7275)  2 Te 2.70, 2 Tb 2.92, 6 Pd 2.92-2.96
Pd (0.5000, 0.0000, 0.2725)  2 Te 2.70, 2 Tb 2.92, 6 Pd 2.92-2.96
Pd (0.5000, 0.0000, 0.7275)  2 Te 2.70, 2 Tb 2.92, 6 Pd 2.92-2.96
Pd (0.5000, 0.5000, 0.0000)  8 Pd 2.92, 4 Tb 2.96

Calculated values
formation energy without anion corrections	-0.625	eV per atom
raw total energy	-38.11	eV per cell

=====

(4)
The following is a DFT calculation (PBE) of crystalline TbUTe3Pd at its relaxed geometry.

abc: 8.3301 4.1584 9.9888
angles: 90.00 100.05 90.00
With the nearest neighbours (Å) after each atom.
Sites, in units of the cell vectors:
Tb (0.1736, 0.2500, 0.1802)  6 Te 3.00-3.24
Tb (0.8264, 0.7500, 0.8198)  6 Te 3.00-3.24
U (0.3258, 0.7500, 0.7170)  6 Te 3.12-3.23, 3 Pd 3.30-3.37
U (0.6742, 0.2500, 0.2830)  6 Te 3.12-3.23, 3 Pd 3.30-3.37
Te (0.1030, 0.2500, 0.8509)  3 Tb 3.08-3.24, 2 U 3.23
Te (0.2243, 0.2500, 0.4849)  3 Pd 2.82-2.98, 1 Tb 3.00, 2 U 3.12
Te (0.4247, 0.7500, 0.1360)  1 Pd 2.73, 2 Tb 3.04
Te (0.5753, 0.2500, 0.8640)  1 Pd 2.73, 2 Tb 3.04
Te (0.7757, 0.7500, 0.5151)  3 Pd 2.82-2.98, 1 Tb 3.00, 2 U 3.12
Te (0.8970, 0.7500, 0.1491)  3 Tb 3.08-3.24, 2 U 3.23
Pd (0.4187, 0.7500, 0.4086)  4 Te 2.73-2.98, 2 Pd 2.94
Pd (0.5813, 0.2500, 0.5914)  4 Te 2.73-2.98, 2 Pd 2.94

Calculated values
formation energy without anion corrections	-0.901	eV per atom
raw total energy	-71.88	eV per cell

=====

(5)
The following is a DFT calculation (PBE) of crystalline TbTh4Pd15 at its relaxed geometry.

abc: 4.1973 4.1973 21.0532
angles: 90.00 90.00 90.00
With the nearest neighbours (Å) after each atom.
Sites, in units of the cell vectors:
Tb (0.0000, 0.0000, 0.0000)  12 Pd 2.96-2.97
Th (0.0000, 0.0000, 0.1957)  12 Pd 2.92-3.03
Th (0.0000, 0.0000, 0.3987)  12 Pd 2.97-2.99
Th (0.0000, 0.0000, 0.6013)  12 Pd 2.97-2.99
Th (0.0000, 0.0000, 0.8043)  12 Pd 2.92-3.03
Pd (0.0000, 0.5000, 0.0990)  2 Th 2.92, 2 Tb 2.96, 8 Pd 2.96-2.98
Pd (0.0000, 0.5000, 0.2992)  8 Pd 2.96-2.98, 4 Th 2.97-3.03
Pd (0.0000, 0.5000, 0.5000)  8 Pd 2.97, 4 Th 2.99
Pd (0.0000, 0.5000, 0.7008)  8 Pd 2.96-2.98, 4 Th 2.97-3.03
Pd (0.0000, 0.5000, 0.9010)  2 Th 2.92, 2 Tb 2.96, 8 Pd 2.96-2.98
Pd (0.5000, 0.0000, 0.0990)  2 Th 2.92, 2 Tb 2.96, 8 Pd 2.96-2.98
Pd (0.5000, 0.0000, 0.2992)  8 Pd 2.96-2.98, 4 Th 2.97-3.03
Pd (0.5000, 0.0000, 0.5000)  8 Pd 2.97, 4 Th 2.99
Pd (0.5000, 0.0000, 0.7008)  8 Pd 2.96-2.98, 4 Th 2.97-3.03
Pd (0.5000, 0.0000, 0.9010)  2 Th 2.92, 2 Tb 2.96, 8 Pd 2.96-2.98
Pd (0.5000, 0.5000, 0.0000)  8 Pd 2.96, 4 Tb 2.97
Pd (0.5000, 0.5000, 0.1998)  8 Pd 2.96-2.98, 4 Th 2.97
Pd (0.5000, 0.5000, 0.3998)  4 Th 2.97, 8 Pd 2.97-2.98
Pd (0.5000, 0.5000, 0.6002)  4 Th 2.97, 8 Pd 2.97-2.98
Pd (0.5000, 0.5000, 0.8002)  8 Pd 2.96-2.98, 4 Th 2.97

Calculated values
DFT formation energy	-18.7	eV/f.u.
raw total energy	-130.88	eV per cell

=====

(6)
The following is a DFT calculation (PBE) of crystalline TbTh3Pd12 at its relaxed geometry.

abc: 4.1952 4.1952 16.8101
angles: 90.00 90.00 90.00
With the nearest neighbours (Å) after each atom.
Sites, in units of the cell vectors:
Tb (0.0000, 0.0000, 0.0000)  12 Pd 2.95-2.97
Th (0.0000, 0.0000, 0.2451)  12 Pd 2.93-3.02
Th (0.0000, 0.0000, 0.5000)  12 Pd 2.97-2.98
Th (0.0000, 0.0000, 0.7549)  12 Pd 2.93-3.02
Pd (0.0000, 0.5000, 0.1237)  2 Th 2.93, 2 Tb 2.95, 8 Pd 2.95-2.98
Pd (0.0000, 0.5000, 0.3743)  8 Pd 2.96-2.98, 4 Th 2.98-3.02
Pd (0.0000, 0.5000, 0.6257)  8 Pd 2.96-2.98, 4 Th 2.98-3.02
Pd (0.0000, 0.5000, 0.8763)  2 Th 2.93, 2 Tb 2.95, 8 Pd 2.95-2.98
Pd (0.5000, 0.0000, 0.1237)  2 Th 2.93, 2 Tb 2.95, 8 Pd 2.95-2.98
Pd (0.5000, 0.0000, 0.3743)  8 Pd 2.96-2.98, 4 Th 2.98-3.02
Pd (0.5000, 0.0000, 0.6257)  8 Pd 2.96-2.98, 4 Th 2.98-3.02
Pd (0.5000, 0.0000, 0.8763)  2 Th 2.93, 2 Tb 2.95, 8 Pd 2.95-2.98
Pd (0.5000, 0.5000, 0.0000)  8 Pd 2.95, 4 Tb 2.97
Pd (0.5000, 0.5000, 0.2498)  8 Pd 2.96-2.98, 4 Th 2.97
Pd (0.5000, 0.5000, 0.5000)  4 Th 2.97, 8 Pd 2.98
Pd (0.5000, 0.5000, 0.7502)  8 Pd 2.96-2.98, 4 Th 2.97

Calculated values
DFT formation energy	-15.1	eV/f.u.
raw total energy	-104.31	eV per cell